First-principles (PBE-GGA) data for an optimized crystal structure of La2Ta, as listed in Alexandria via LeMat-Bulk.

Computed properties:
Its total energy is -6.719 eV per atom. The energy above the most stable polymorph in this dataset comes out at 69.1 kJ/mol of formula units. As for the mass density: 8.851 g cm⁻³. For the calculated formation energy, the calculation gives 0.516 eV per atom.

abc: 6.6069 5.2476 9.9297
angles: 90.00 90.00 90.00
Space group Pnma (No. 62)
Symmetry-distinct sites (fractional):
1 La 0.0472 0.2500 0.2056 (multiplicity 4)
2 La 0.1688 0.2500 0.5576 (multiplicity 4)
3 Ta 0.2089 0.2500 0.8661 (multiplicity 4)